Entry i
The following is a PBE calculation of a relaxed structure of NaSb2Ru2, from Alexandria.

Cell: 4.5989 4.5989 6.0612 Å, 67.71 67.71 90.00°
Closest atoms and distances in Å follow each position.
Sites, in units of the cell vectors:
1 Sb 0.7500 0.2500 0.5000  4 Ru 2.67
2 Sb 0.2500 0.7500 0.5000  4 Ru 2.67
3 Na 0.0000 0.0000 0.0000  8 Sb 3.44, 8 Ru 3.47
4 Ru 0.3829 0.3829 0.2342  1 Ru 2.40, 4 Sb 2.67
5 Ru 0.6171 0.6171 0.7658  1 Ru 2.40, 4 Sb 2.67

Crystal system = tetragonal
Theoretical density = 7.19 g cm⁻³

=====

Entry ii
The following is a PBE calculation of a relaxed structure of NaSb2Ru2, from Alexandria.

Cell: 7.7870 7.7870 3.0996 Å, 90.00 90.00 90.00°
Closest atoms and distances in Å follow each position.
Sites, in units of the cell vectors:
1 Sb 0.1568 0.6568 0.5000  6 Ru 2.76
2 Sb 0.6568 0.8432 0.5000  6 Ru 2.76
3 Sb 0.8432 0.3432 0.5000  6 Ru 2.76
4 Sb 0.3432 0.1568 0.5000  6 Ru 2.76
5 Na 0.0000 0.0000 0.0000  4 Ru 3.03, 2 Na 3.10, 8 Sb 3.32
6 Na 0.5000 0.5000 0.0000  4 Ru 3.03, 2 Na 3.10, 8 Sb 3.32
7 Ru 0.3639 0.8639 0.0000  6 Sb 2.76, 1 Ru 3.00, 2 Na 3.03
8 Ru 0.8639 0.6361 0.0000  6 Sb 2.76, 1 Ru 3.00, 2 Na 3.03
9 Ru 0.6361 0.1361 0.0000  6 Sb 2.76, 1 Ru 3.00, 2 Na 3.03
10 Ru 0.1361 0.3639 0.0000  6 Sb 2.76, 1 Ru 3.00, 2 Na 3.03

Crystal system = tetragonal
Theoretical density = 8.28 g cm⁻³

=====

The computed energies, referenced to the most stable structure and given in kJ/mol of atoms, are entry i 12.1; entry ii 0.0.

=====

Entry i
The following is a PBE calculation of a relaxed structure of NaSc2Ru2, from Alexandria.

Cell: 7.8076 7.8076 3.0666 Å, 90.00 90.00 90.00°
Closest atoms and distances in Å follow each position.
Sites, in units of the cell vectors:
1 Sc 0.3571 0.8571 0.0000  6 Ru 2.74-2.78, 2 Na 3.00
2 Sc 0.8571 0.6429 0.0000  6 Ru 2.74-2.78, 2 Na 3.00
3 Sc 0.6429 0.1429 0.0000  6 Ru 2.74-2.78, 2 Na 3.00
4 Sc 0.1429 0.3571 0.0000  6 Ru 2.74-2.78, 2 Na 3.00
5 Ru 0.1475 0.6475 0.5000  6 Sc 2.74-2.78
6 Ru 0.6475 0.8525 0.5000  6 Sc 2.74-2.78
7 Ru 0.8525 0.3525 0.5000  6 Sc 2.74-2.78
8 Ru 0.3525 0.1475 0.5000  6 Sc 2.74-2.78
9 Na 0.0000 0.0000 0.0000  4 Sc 3.00, 2 Na 3.07, 8 Ru 3.35
10 Na 0.5000 0.5000 0.0000  4 Sc 3.00, 2 Na 3.07, 8 Ru 3.35

Crystal system = tetragonal
Theoretical density = 5.60 g cm⁻³

=====

Entry ii
The following is a PBE calculation of a relaxed structure of NaSc2Ru2, from Alexandria.

Cell: 7.6841 7.6841 3.1736 Å, 90.00 90.00 90.00°
Closest atoms and distances in Å follow each position.
Sites, in units of the cell vectors:
1 Sc 0.1492 0.6492 0.5000  6 Ru 2.73-2.78
2 Sc 0.6492 0.8508 0.5000  6 Ru 2.73-2.78
3 Sc 0.8508 0.3508 0.5000  6 Ru 2.73-2.78
4 Sc 0.3508 0.1492 0.5000  6 Ru 2.73-2.78
5 Ru 0.3597 0.8597 0.0000  6 Sc 2.73-2.78, 2 Na 2.97, 1 Ru 3.05
6 Ru 0.8597 0.6403 0.0000  6 Sc 2.73-2.78, 2 Na 2.97, 1 Ru 3.05
7 Ru 0.6403 0.1403 0.0000  6 Sc 2.73-2.78, 2 Na 2.97, 1 Ru 3.05
8 Ru 0.1403 0.3597 0.0000  6 Sc 2.73-2.78, 2 Na 2.97, 1 Ru 3.05
9 Na 0.0000 0.0000 0.0000  4 Ru 2.97, 2 Na 3.17
10 Na 0.5000 0.5000 0.0000  4 Ru 2.97, 2 Na 3.17

Crystal system = tetragonal
Theoretical density = 5.58 g cm⁻³

=====

The computed energies, referenced to the most stable structure and given in kJ/mol of atoms, are entry i 3.4; entry ii 0.0.

=====

Entry i
The following is a PBE calculation of a relaxed structure of NaSi3Ru, from Alexandria.

Cell: 4.6891 4.6891 4.6891 Å, 90.00 90.00 90.00°
Closest atoms and distances in Å follow each position.
Sites, in units of the cell vectors:
1 Ru 0.5000 0.5000 0.5000  12 Si 3.32
2 Si 0.0000 0.5000 0.0000  2 Na 2.34
3 Si 0.0000 0.0000 0.5000  2 Na 2.34
4 Si 0.5000 0.0000 0.0000  2 Na 2.34
5 Na 0.0000 0.0000 0.0000  6 Si 2.34

Crystal system = cubic
Theoretical density = 3.36 g cm⁻³

=====

Entry ii
The following is a PBE calculation of a relaxed structure of NaSi3Ru, from Alexandria.

Cell: 4.6998 4.6998 4.6998 Å, 90.00 90.00 90.00°
Closest atoms and distances in Å follow each position.
Sites, in units of the cell vectors:
1 Ru 0.0000 0.0000 0.0000  6 Si 2.35
2 Si 0.0000 0.5000 0.0000  2 Ru 2.35
3 Si 0.0000 0.0000 0.5000  2 Ru 2.35
4 Si 0.5000 0.0000 0.0000  2 Ru 2.35
5 Na 0.5000 0.5000 0.5000  12 Si 3.32

Crystal system = cubic
Theoretical density = 3.33 g cm⁻³

=====

The computed energies, referenced to the most stable structure and given in kJ/mol of atoms, are entry i 158.9; entry ii 0.0.

=====

Entry i
The following is a PBE calculation of a relaxed structure of Na3SiRu, from Alexandria.

Cell: 5.4293 5.4293 5.4293 Å, 90.00 90.00 90.00°
Closest atoms and distances in Å follow each position.
Sites, in units of the cell vectors:
1 Ru 0.5000 0.5000 0.5000  12 Na 3.84
2 Si 0.0000 0.0000 0.0000  6 Na 2.71
3 Na 0.0000 0.5000 0.0000  2 Si 2.71
4 Na 0.0000 0.0000 0.5000  2 Si 2.71
5 Na 0.5000 0.0000 0.0000  2 Si 2.71

Crystal system = cubic
Theoretical density = 2.06 g cm⁻³

=====

Entry ii
The following is a PBE calculation of a relaxed structure of Na3SiRu, from Alexandria.

Cell: 5.3029 5.3029 5.3029 Å, 90.00 90.00 90.00°
Closest atoms and distances in Å follow each position.
Sites, in units of the cell vectors:
1 Ru 0.0000 0.0000 0.0000  6 Na 2.65
2 Si 0.5000 0.5000 0.5000  12 Na 3.75
3 Na 0.0000 0.5000 0.0000  2 Ru 2.65
4 Na 0.0000 0.0000 0.5000  2 Ru 2.65
5 Na 0.5000 0.0000 0.0000  2 Ru 2.65

Crystal system = cubic
Theoretical density = 2.21 g cm⁻³

=====

The computed energies, referenced to the most stable structure and given in kJ/mol of atoms, are entry i 0.0; entry ii 6.7.